No. 1
CaInNi4: optimized geometry, GGA-PBE.

Unit cell a=8.4762 b=8.4762 c=5.6888 alpha=90.00 beta=90.00 gamma=152.64
Site moments in Bohr magnetons follow the coordinates.
Fractional coordinates of all 12 atoms:
Ni1 0.5000 0.5000 0.0000  0.17
Ni2 0.5000 0.5000 0.5000  0.17
Ni3 0.9272 0.0728 0.2500  0.10
Ni4 0.0728 0.9272 0.7500  0.10
Ni5 0.3538 0.6462 0.0499  0.04
Ni6 0.6462 0.3538 0.5499  0.04
Ni7 0.3538 0.6462 0.4501  0.04
Ni8 0.6462 0.3538 0.9501  0.04
Ca1 0.0969 0.9031 0.2500  -0.01
Ca2 0.9031 0.0969 0.7500  -0.01
In1 0.7667 0.2333 0.2500  0.00
In2 0.2333 0.7667 0.7500  0.00

Output
**DFT formation energy**: 0.008 eV/atom
**Calculated volume**: 94 Å³/f.u.

---

No. 2
Ca2In3Ni: optimized geometry, GGA-PBE.

Unit cell a=3.7589 b=4.7498 c=8.4385 alpha=90.00 beta=90.00 gamma=90.00
Fractional coordinates of all 6 atoms:
Ca1 0.0000 0.5000 0.0307
Ca2 0.0000 0.0000 0.4835
In1 0.5000 0.0000 0.8356
In2 0.5000 0.0000 0.1843
In3 0.5000 0.5000 0.6396
Ni1 0.5000 0.5000 0.3263

Output
**DFT formation energy**: -0.318 eV/atom
**Calculated volume**: 151 Å³/f.u.